Computed, not measured: an optimized crystal structure of ZnFeW2 at the PBE level of DFT.

Uncorrected energy, eV/atom: -8.69

Structure (CIF):
```
data_ZnFeW2
_chemical_formula_sum 'Zn1 Fe1 W2'
_cell_length_a 2.7286
_cell_length_b 2.7286
_cell_length_c 7.6382
_cell_angle_alpha 90.00
_cell_angle_beta 90.00
_cell_angle_gamma 90.00
_symmetry_space_group_name_H-M 'P 4/m m m'
_symmetry_Int_Tables_number 123
_symmetry_space_group_name_Hall '-P 4 2'
loop_
_atom_site_label
_atom_site_type_symbol
_atom_site_fract_x
_atom_site_fract_y
_atom_site_fract_z
_atom_site_occupancy
Zn1 Zn 0.0000 0.0000 0.0000 1
Fe1 Fe 0.0000 0.0000 0.5000 1
W1 W 0.5000 0.5000 0.2718 1
```